Run one
Density functional theory data (PBE with a Hubbard U) for a relaxed ErCoNO crystal.

Computed properties:
As for the spin magnetization: 2.93 μB per formula unit. Its crystal system is tetragonal.

Cell: 3.589 3.589 7.657 Å, 90.00 90.00 90.00°
Space group P4/nmm (No. 129, origin choice 2)
Asymmetric unit:
Er  0.250  0.250  0.155 [2 per cell]
Co  0.250  0.750  0.500 [2 per cell]
N  0.250  0.250  0.643 [2 per cell]
O  0.250  0.750  0.000 [2 per cell]


Run two
Density functional theory data (PBE with a Hubbard U) for a relaxed ErCoNO crystal.

Computed properties:
As for the spin magnetization: 3.00 μB per formula unit. Its crystal system is orthorhombic.

Cell: 3.703 6.033 4.832 Å, 90.00 90.00 90.00°
Space group Pmc2_1 (No. 26)
Asymmetric unit:
Er  0.000  0.194  0.000 [2 per cell]
Co  0.500  0.310  0.515 [2 per cell]
N  0.000  0.178  0.487 [2 per cell]
O  0.500  0.365  0.955 [2 per cell]


Run three
Density functional theory data (PBE with a Hubbard U) for a relaxed ErCoNO crystal.

Computed properties:
As for the spin magnetization: 3.00 μB per formula unit. Its crystal system is orthorhombic.

Cell: 3.585 5.748 5.538 Å, 90.00 90.00 90.00°
Space group Pmc2_1 (No. 26)
Asymmetric unit:
Er  0.000  0.210  0.000 [2 per cell]
Co  0.500  0.320  0.498 [2 per cell]
N  0.500  0.367  0.846 [2 per cell]
O  0.000  0.152  0.393 [2 per cell]


Which of them is the most stable, and which is the least stable? run two and run one, in that order.